No. 1
Here is BeTl2 after structural relaxation from Alexandria. Energies are from PBE-GGA.

abc: 6.5455 6.5455 6.5455
angles: 90.00 90.00 90.00
Last column: nearest neighbours and their distance in Å.
Element x y z (fractional)
Be 0.0000 0.0000 0.0000  6 Tl 2.67
Be 0.0000 0.5000 0.5000  6 Tl 2.67
Be 0.5000 0.0000 0.5000  6 Tl 2.67
Be 0.5000 0.5000 0.0000  6 Tl 2.67
Tl 0.1601 0.6601 0.8399  3 Be 2.67
Tl 0.1601 0.8399 0.3399  3 Be 2.67
Tl 0.3399 0.1601 0.8399  3 Be 2.67
Tl 0.3399 0.3399 0.3399  3 Be 2.67
Tl 0.6601 0.6601 0.6601  3 Be 2.67
Tl 0.6601 0.8399 0.1601  3 Be 2.67
Tl 0.8399 0.1601 0.6601  3 Be 2.67
Tl 0.8399 0.3399 0.1601  3 Be 2.67

Calculated values
For the energy above the lowest structure with this stoichiometry, the calculation gives 61 meV per atom.

***

No. 2
Here is BeTl2 after structural relaxation from Alexandria. Energies are from PBE-GGA.

abc: 4.4256 4.4256 8.6346
angles: 90.00 90.00 120.00
Last column: nearest neighbours and their distance in Å.
Element x y z (fractional)
Be 0.3333 0.6667 0.2500  3 Tl 2.56
Be 0.6667 0.3333 0.7500  3 Tl 2.56
Tl 0.0000 0.0000 0.0000  6 Tl 3.34, 6 Be 3.34
Tl 0.0000 0.0000 0.5000  6 Tl 3.34, 6 Be 3.34
Tl 0.3333 0.6667 0.7500  3 Be 2.56
Tl 0.6667 0.3333 0.2500  3 Be 2.56

Calculated values
For the energy above the lowest structure with this stoichiometry, the calculation gives 149 meV per atom.

***

In the order shown, the computed N(E_F) values come out to 7.21; 2.42 states/eV/cell.
In the order shown, the computed formation enthalpy at 0 K values come out to 0.47; 0.56 eV per atom.